# 1
The following is a GGA-PBE calculation of a relaxed LiAlSbS4 crystal, from Alexandria via LeMat-Bulk.

Cell lengths 7.2201, 7.5406, 10.5868 Å; angles 90.00, 90.00, 90.00 degrees
Space group Imma (No. 74)
Asymmetric unit:
Li1 0.0000 0.2500 0.1378 [4 per cell]
Al1 0.2500 0.2500 0.7500 [4 per cell]
Sb1 0.0000 0.0000 0.5000 [4 per cell]
S1 0.0000 0.0302 0.7483 [8 per cell]
S2 0.2429 0.2500 0.9801 [8 per cell]

The density of states at the Fermi level comes out at 5.56 states/eV per cell. Its final energy is -126.42 eV/cell. The calculation puts the formation energy (no corrections) at -5.32 eV/f.u.

---

# 2
The following is a GGA-PBE calculation of a relaxed TaCdInSiP crystal, from Alexandria via LeMat-Bulk.

Cell lengths 3.5602, 5.3452, 5.6052 Å; angles 82.20, 71.56, 89.99 degrees
Space group P1 (No. 1)
Asymmetric unit:
Ta1 0.0000 0.0000 0.0000 [1 per cell]
Cd1 0.1382 0.5323 0.7219 [1 per cell]
In1 0.7274 0.0479 0.5451 [1 per cell]
Si1 0.4290 0.2943 0.1420 [1 per cell]
P1 0.3965 0.7075 0.2077 [1 per cell]

The density of states at the Fermi level comes out at 2.30 states/eV per cell. Its final energy is -26.33 eV/cell. The calculation puts the formation energy (no corrections) at 0.00 eV/f.u.

---

# 3
The following is a GGA-PBE calculation of a relaxed BaY2Cu crystal, from Alexandria via LeMat-Bulk.

Cell lengths 4.8519, 4.8519, 10.2687 Å; angles 90.00, 90.00, 90.00 degrees
Space group I-4m2 (No. 119)
Asymmetric unit:
Ba1 0.0000 0.0000 0.0000 [2 per cell]
Y1 0.0000 0.0000 0.5000 [2 per cell]
Y2 0.0000 0.5000 0.2500 [2 per cell]
Cu1 0.0000 0.5000 0.7500 [2 per cell]

The density of states at the Fermi level comes out at 14.67 states/eV per cell. The value obtained for the energy of formation is 158 kJ/mol of formula units. Its final energy is -34.61 eV/cell.

---

# 4
The following is a GGA-PBE calculation of a relaxed CuTe2 crystal, from Alexandria via LeMat-Bulk.

Cell lengths 7.0724, 7.0724, 5.1701 Å; angles 90.00, 90.00, 120.00 degrees
Space group P-31m (No. 162)
Asymmetric unit:
Cu1 0.0000 0.0000 0.0000 [1 per cell]
Cu2 0.3333 0.6667 0.5000 [2 per cell]
Te1 0.0000 0.3485 0.2310 [6 per cell]

The density of states at the Fermi level comes out at 5.58 states/eV per cell. Its final energy is -30.55 eV/cell. The calculation puts the formation energy (no corrections) at 0.20 eV/f.u.